Entry 1:
Below is an optimized crystal structure of SiPdRh3, with properties calculated at the PBE level.

a b c (Å): 4.7127 4.7127 4.7127
angles (deg): 90.00 90.00 90.00
With the nearest neighbours (Å) after each atom.
Fractional coordinates of all 5 atoms:
Si1 0.0000 0.0000 0.0000  12 Rh 3.33
Pd1 0.5000 0.5000 0.5000  6 Rh 2.36
Rh1 0.0000 0.5000 0.5000  2 Pd 2.36
Rh2 0.5000 0.0000 0.5000  2 Pd 2.36
Rh3 0.5000 0.5000 0.0000  2 Pd 2.36

Calculated values
Crystal system: cubic
Raw total energy in eV per cell: -24.456
E above lowest polymorph in meV per atom: 1267
Size of the total moment in μB per formula unit: 1.91

***

Entry 2:
Below is an optimized crystal structure of Nd2Tm4Cd, with properties calculated at the PBE level.

a b c (Å): 5.9282 6.5556 11.3146
angles (deg): 90.00 104.32 90.00
With the nearest neighbours (Å) after each atom.
Fractional coordinates of all 14 atoms:
Nd1 0.0784 0.2500 0.4821  2 Cd 3.29-3.43, 4 Tm 3.31-3.45, 2 Nd 3.46
Nd2 0.3460 0.7500 0.0681  9 Tm 3.27-3.53
Nd3 0.6540 0.2500 0.9319  9 Tm 3.27-3.53
Nd4 0.9216 0.7500 0.5179  2 Cd 3.29-3.43, 4 Tm 3.31-3.45, 2 Nd 3.46
Tm1 0.1554 0.0068 0.7868  5 Tm 3.19-3.53, 1 Cd 3.24, 3 Nd 3.40-3.53
Tm2 0.1554 0.4932 0.7868  5 Tm 3.19-3.53, 1 Cd 3.24, 3 Nd 3.40-3.53
Tm3 0.2088 0.2500 0.0685  1 Cd 3.10, 4 Nd 3.27-3.38, 2 Tm 3.45
Tm4 0.3646 0.7500 0.3702  3 Cd 3.20-3.41, 3 Nd 3.31-3.44, 2 Tm 3.53
Tm5 0.6354 0.2500 0.6298  3 Cd 3.20-3.41, 3 Nd 3.31-3.44, 2 Tm 3.53
Tm6 0.7912 0.7500 0.9315  1 Cd 3.10, 4 Nd 3.27-3.38, 2 Tm 3.45
Tm7 0.8446 0.5068 0.2132  5 Tm 3.19-3.53, 1 Cd 3.24, 3 Nd 3.40-3.53
Tm8 0.8446 0.9932 0.2132  5 Tm 3.19-3.53, 1 Cd 3.24, 3 Nd 3.40-3.53
Cd1 0.4971 0.2500 0.3375  6 Tm 3.10-3.41, 2 Nd 3.29-3.43
Cd2 0.5029 0.7500 0.6625  6 Tm 3.10-3.41, 2 Nd 3.29-3.43

Calculated values
Crystal system: monoclinic
Raw total energy in eV per cell: -56.139
ΔE_f in kJ/mol of atoms: 3.68
Size of the total moment in μB per formula unit: 0.00

***

Entry 3:
Below is an optimized crystal structure of Y2BeNbIn, with properties calculated at the PBE level.

a b c (Å): 5.6915 5.6915 4.3299
angles (deg): 90.00 90.00 90.00
With the nearest neighbours (Å) after each atom.
Fractional coordinates of all 5 atoms:
Y1 0.0000 0.5000 0.0000  2 In 2.85
Y2 0.5000 0.0000 0.0000  2 In 2.85
Be1 0.0000 0.0000 0.5000  2 In 2.16
Nb1 0.5000 0.5000 0.5000  8 Y 3.58
In1 0.0000 0.0000 0.0000  2 Be 2.16

Calculated values
Crystal system: tetragonal
Raw total energy in eV per cell: -24.571
ΔE_f in kJ/mol of atoms: 94.39
Size of the total moment in μB per formula unit: 2.60

***

Entry 4:
Below is an optimized crystal structure of SrPr5, with properties calculated at the PBE level.

a b c (Å): 8.4289 8.4289 5.3713
angles (deg): 90.00 90.00 142.99
With the nearest neighbours (Å) after each atom.
Fractional coordinates of all 6 atoms:
Sr1 0.0000 0.0000 0.0000  12 Pr 3.79-3.85
Pr1 0.1728 0.8272 0.5000  10 Pr 3.64-3.84, 2 Sr 3.85
Pr2 0.3275 0.6725 0.0000  10 Pr 3.65-3.85, 2 Sr 3.84
Pr3 0.5000 0.5000 0.5000  4 Sr 3.79, 8 Pr 3.84-3.85
Pr4 0.6725 0.3275 0.0000  10 Pr 3.65-3.85, 2 Sr 3.84
Pr5 0.8272 0.1728 0.5000  10 Pr 3.64-3.84, 2 Sr 3.85

Calculated values
Crystal system: orthorhombic
Raw total energy in eV per cell: -25.101
E above lowest polymorph in meV per atom: 28
ΔE_f in kJ/mol of atoms: 7.69
Size of the total moment in μB per formula unit: 0.00

***

Entry 5:
Below is an optimized crystal structure of KCeF5, with properties calculated at the PBE level.

a b c (Å): 6.0983 6.0983 9.0329
angles (deg): 106.99 106.99 72.43
With the nearest neighbours (Å) after each atom.
Fractional coordinates of all 14 atoms:
K1 0.0300 0.9700 0.7500  6 F 2.58-2.89
K2 0.9700 0.0300 0.2500  6 F 2.58-2.89
Ce1 0.5000 0.5000 0.0000  6 F 2.11-2.30
Ce2 0.5000 0.5000 0.5000  6 F 2.11-2.30
F1 0.1652 0.7403 0.0116  1 Ce 2.13
F2 0.2094 0.3458 0.3915  1 Ce 2.11
F3 0.2597 0.8348 0.4884  1 Ce 2.13
F4 0.3458 0.2094 0.8915  1 Ce 2.11
F5 0.4375 0.5625 0.7500  2 Ce 2.30
F6 0.5625 0.4375 0.2500  2 Ce 2.30
F7 0.6542 0.7906 0.1085  1 Ce 2.11
F8 0.7403 0.1652 0.5116  1 Ce 2.13
F9 0.7906 0.6542 0.6085  1 Ce 2.11
F10 0.8348 0.2597 0.9884  1 Ce 2.13

Calculated values
Crystal system: monoclinic
Raw total energy in eV per cell: -81.895
E above lowest polymorph in meV per atom: 11
Size of the total moment in μB per formula unit: 0.00

***

Entry 6:
Below is an optimized crystal structure of TbReF, with properties calculated at the PBE level.

a b c (Å): 3.1915 3.1915 9.4834
angles (deg): 90.00 90.00 90.00
With the nearest neighbours (Å) after each atom.
Fractional coordinates of all 6 atoms:
Tb1 0.2500 0.2500 0.1972  5 F 2.52-2.56
Tb2 0.7500 0.7500 0.8028  5 F 2.52-2.56
Re1 0.2500 0.2500 0.5684  4 Re 2.60
Re2 0.7500 0.7500 0.4316  4 Re 2.60
F1 0.2500 0.2500 0.9311  5 Tb 2.52-2.56, 4 F 2.61
F2 0.7500 0.7500 0.0689  5 Tb 2.52-2.56, 4 F 2.61

Calculated values
Crystal system: tetragonal
Raw total energy in eV per cell: -47.437
Size of the total moment in μB per formula unit: 0.00

***

Question: Number 5 is which compound?
Answer: KCeF5